No. 1
The following is a DFT calculation (PBE) of ScMn4W after structural relaxation.

Properties
SG = No. 216
Total energy = -9.385 eV/atom

```
data_ScMn4W
_space_group_name_H-M_alt 'P 1'
_space_group_IT_number 1
_cell_length_a 4.822
_cell_length_b 4.822
_cell_length_c 4.822
_cell_angle_alpha 60.00
_cell_angle_beta 60.00
_cell_angle_gamma 60.00
loop_
_space_group_symop_operation_xyz
'x,y,z'
loop_
_atom_site_label
_atom_site_type_symbol
_atom_site_fract_x
_atom_site_fract_y
_atom_site_fract_z
Mn1 Mn 0.625 0.125 0.625
Mn2 Mn 0.125 0.625 0.625
Mn3 Mn 0.625 0.625 0.625
Mn4 Mn 0.625 0.625 0.125
Sc1 Sc 0.250 0.250 0.250
W1 W 0.000 0.000 0.000
```



No. 2
The following is a DFT calculation (PBE) of Mg8Cd2Sn after structural relaxation.

Properties
SG = No. 12
Energy above the most stable polymorph in this dataset = 59 meV/atom

```
data_Mg8Cd2Sn
_space_group_name_H-M_alt 'P 1'
_space_group_IT_number 1
_cell_length_a 5.257
_cell_length_b 7.791
_cell_length_c 7.791
_cell_angle_alpha 116.40
_cell_angle_beta 102.69
_cell_angle_gamma 102.69
loop_
_space_group_symop_operation_xyz
'x,y,z'
loop_
_atom_site_label
_atom_site_type_symbol
_atom_site_fract_x
_atom_site_fract_y
_atom_site_fract_z
Mg1 Mg 0.879 0.906 0.675
Mg2 Mg 0.879 0.675 0.906
Mg3 Mg 0.310 0.599 0.599
Mg4 Mg 0.500 0.778 0.222
Mg5 Mg 0.500 0.222 0.778
Mg6 Mg 0.690 0.401 0.401
Mg7 Mg 0.121 0.325 0.094
Mg8 Mg 0.121 0.094 0.325
Cd1 Cd 0.000 0.305 0.695
Cd2 Cd 0.000 0.695 0.305
Sn1 Sn 0.500 0.000 0.000
```



No. 3
The following is a DFT calculation (PBE) of Ca7Sn3O2 after structural relaxation.

Properties
SG = No. 65
Total energy = -4.387 eV/atom

```
data_Ca7Sn3O2
_space_group_name_H-M_alt 'P 1'
_space_group_IT_number 1
_cell_length_a 4.787
_cell_length_b 4.861
_cell_length_c 12.592
_cell_angle_alpha 101.13
_cell_angle_beta 90.00
_cell_angle_gamma 90.00
loop_
_space_group_symop_operation_xyz
'x,y,z'
loop_
_atom_site_label
_atom_site_type_symbol
_atom_site_fract_x
_atom_site_fract_y
_atom_site_fract_z
Ca1 Ca 0.000 0.400 0.800
Ca2 Ca 0.000 0.801 0.601
Ca3 Ca 0.000 0.000 0.000
Ca4 Ca 0.000 0.600 0.200
Ca5 Ca 0.500 0.097 0.194
Ca6 Ca 0.500 0.903 0.806
Ca7 Ca 0.000 0.199 0.399
Sn1 Sn 0.500 0.500 0.000
Sn2 Sn 0.500 0.695 0.389
Sn3 Sn 0.500 0.305 0.611
O1 O 0.000 0.902 0.804
O2 O 0.000 0.098 0.196
```



No. 4
The following is a DFT calculation (PBE) of SrCa2MgTl4 after structural relaxation.

Properties
SG = No. 166
Total energy = -2.427 eV/atom

```
data_SrCa2MgTl4
_space_group_name_H-M_alt 'P 1'
_space_group_IT_number 1
_cell_length_a 5.445
_cell_length_b 5.445
_cell_length_c 9.835
_cell_angle_alpha 73.93
_cell_angle_beta 73.93
_cell_angle_gamma 60.00
loop_
_space_group_symop_operation_xyz
'x,y,z'
loop_
_atom_site_label
_atom_site_type_symbol
_atom_site_fract_x
_atom_site_fract_y
_atom_site_fract_z
Sr1 Sr 0.000 0.000 0.000
Ca1 Ca 0.758 0.758 0.727
Ca2 Ca 0.242 0.242 0.273
Mg1 Mg 0.500 0.500 0.500
Tl1 Tl 0.387 0.387 0.838
Tl2 Tl 0.876 0.876 0.372
Tl3 Tl 0.124 0.124 0.628
Tl4 Tl 0.613 0.613 0.162
```



In order of appearance, DOS(E_F) = 5.9 4.5 4.3 2.8 states/eV/f.u..